(1)
Cs2AlAu4 | PBE | relaxed

## Properties
The value obtained for the formation energy is -214 meV/atom. Its density of states at the Fermi level is 1.3 states/eV per cell. Its total energy is -2.865 eV/atom.

Cell: 5.1407 5.1407 9.8324 Å, 74.85 74.85 90.00°
Positions (direct):
1 Cs 0.3500 0.3500 0.3000
2 Cs 0.6500 0.6500 0.7000
3 Au 0.1389 0.1389 0.7221
4 Au 0.8611 0.8611 0.2779
5 Au 0.0000 0.5000 0.0000
6 Au 0.5000 0.0000 0.0000
7 Al 0.0000 0.0000 0.0000

(2)
Tb2Pr5Ho | PBE | relaxed

## Properties
The value obtained for the formation energy is 113 meV/atom. Its density of states at the Fermi level is 23.7 states/eV per cell. The calculation puts the energy above the lowest structure with this stoichiometry at 0.00 kJ per mole of atoms. Its total energy is -4.604 eV/atom.

Cell: 9.2650 9.2650 9.2142 Å, 120.18 120.18 90.00°
Last column: magnetic moment on the atom in μB.
Positions (direct):
1 Tb 0.1455 0.3545 0.0000  0.01
2 Tb 0.6455 0.1455 0.0000  0.01
3 Tb 0.3545 0.8545 0.0000  0.01
4 Tb 0.8545 0.6455 0.0000  0.01
5 Pr 0.4862 0.6859 0.6721  0.01
6 Pr 0.8141 0.0138 0.3279  0.01
7 Pr 0.0000 0.0000 0.0000  0.10
8 Pr 0.5000 0.5000 0.0000  0.10
9 Pr 0.1859 0.9862 0.6721  0.01
10 Pr 0.6859 0.1859 0.6721  0.01
11 Pr 0.9862 0.4862 0.6721  0.01
12 Pr 0.3141 0.8141 0.3279  0.01
13 Pr 0.0138 0.5138 0.3279  0.01
14 Pr 0.5138 0.3141 0.3279  0.01
15 Ho 0.7500 0.7500 0.5000  0.16
16 Ho 0.2500 0.2500 0.5000  0.16

(3)
LiAlH2Pd4 | PBE | relaxed

## Properties
Its density of states at the Fermi level is 1.0 states/eV per cell. Its total energy is -4.497 eV/atom.

Cell: 3.9374 3.9374 6.5923 Å, 90.00 90.00 90.00°
Positions (direct):
1 Li 0.0000 0.0000 0.5000
2 Al 0.0000 0.0000 0.0000
3 H 0.5000 0.5000 0.2596
4 H 0.5000 0.5000 0.7404
5 Pd 0.0000 0.5000 0.2428
6 Pd 0.5000 0.0000 0.7572
7 Pd 0.5000 0.0000 0.2428
8 Pd 0.0000 0.5000 0.7572